Record 1
First-principles (GGA-PBE) data for a geometry-optimized ScPa4As5 structure, as listed in Alexandria.

abc: 9.066 9.066 5.752
angles: 90.00 90.00 90.00
Space group I4/m (No. 87)
Asymmetric unit:
Sc 0.000 0.000 0.000 x2
Pa 0.098 0.699 0.500 x8
As 0.000 0.000 0.500 x2
As 0.099 0.709 0.000 x8

Summary:
Magnetization ... 0.0 μB/f.u.
Formation energy ... -1107 meV/atom

Record 2
First-principles (GGA-PBE) data for a geometry-optimized ScPa3As4 structure, as listed in Alexandria.

abc: 7.007 8.114 7.007
angles: 90.00 109.62 90.00
Space group P2/c (No. 13)
Asymmetric unit:
Sc 0.000 0.124 0.250 x2
Pa 0.000 0.374 0.750 x2
Pa 0.500 0.126 0.750 x2
Pa 0.500 0.376 0.250 x2
As 0.240 0.119 0.000 x4
As 0.243 0.368 0.493 x4

Summary:
Magnetization ... 0.0 μB/f.u.
Formation energy ... -1118 meV/atom

Record 3
First-principles (GGA-PBE) data for a geometry-optimized Sc3PaAs4 structure, as listed in Alexandria.

abc: 5.601 5.601 11.117
angles: 90.00 90.00 90.00
Space group I4/mmm (No. 139)
Asymmetric unit:
Sc 0.000 0.000 0.000 x2
Sc 0.000 0.500 0.250 x4
Pa 0.000 0.000 0.500 x2
As 0.000 0.000 0.247 x4
As 0.000 0.500 0.000 x4

Summary:
Offset from the most stable computed form ... 8 meV per atom
Magnetization ... 0.0 μB/f.u.
Formation energy ... -1284 meV/atom

Record 4
First-principles (GGA-PBE) data for a geometry-optimized ScPaAs2 structure, as listed in Alexandria.

abc: 3.9660 3.9660 20.2475
angles: 90.00 90.00 120.00
Space group R3m (No. 160, hexagonal axes)
Asymmetric unit:
Sc 0.0000 0.0000 0.0000 x3
Pa 0.0000 0.0000 0.1765 x3
As 0.0000 0.0000 0.5933 x3
As 0.0000 0.0000 0.7531 x3

Summary:
Offset from the most stable computed form ... 118 meV per atom
Magnetization ... 0.0 μB/f.u.
Formation energy ... -1064 meV/atom

Record 5
First-principles (GGA-PBE) data for a geometry-optimized Sc3PaAs4 structure, as listed in Alexandria.

abc: 7.859 11.133 3.959
angles: 90.00 90.00 90.00
Space group Cmmm (No. 65)
Asymmetric unit:
Sc 0.000 0.000 0.000 x2
Sc 0.250 0.250 0.500 x4
Pa 0.000 0.500 0.000 x2
As 0.000 0.246 0.000 x4
As 0.239 0.000 0.500 x4

Summary:
Offset from the most stable computed form ... 0 meV per atom
Magnetization ... 0.0 μB/f.u.
Formation energy ... -1291 meV/atom

Record 6
First-principles (GGA-PBE) data for a geometry-optimized ScPa5As6 structure, as listed in Alexandria.

abc: 7.039 12.198 7.033
angles: 90.00 109.57 90.00
Space group C2/m (No. 12)
Asymmetric unit:
Sc 0.000 0.000 0.000 x2
Pa 0.000 0.169 0.500 x4
Pa 0.000 0.334 0.000 x4
Pa 0.000 0.500 0.500 x2
As 0.242 0.000 0.753 x4
As 0.243 0.162 0.243 x8

Summary:
Magnetization ... 0.0 μB/f.u.
Formation energy ... -1100 meV/atom

Record 7
First-principles (GGA-PBE) data for a geometry-optimized ScPa2As structure, as listed in Alexandria.

abc: 3.3411 3.3411 30.8919
angles: 90.00 90.00 120.00
Space group R-3m (No. 166, hexagonal axes)
Asymmetric unit:
Sc 0.0000 0.0000 0.0000 x3
Pa 0.0000 0.0000 0.0982 x6
As 0.0000 0.0000 0.5000 x3

Summary:
Magnetization ... 0.2 μB/f.u.
Formation energy ... 32 meV/atom

Record 8
First-principles (GGA-PBE) data for a geometry-optimized ScPa2As3 structure, as listed in Alexandria.

abc: 4.017 5.730 12.094
angles: 90.00 90.00 90.00
Space group Immm (No. 71)
Asymmetric unit:
Sc 0.000 0.000 0.000 x2
Pa 0.000 0.000 0.332 x4
As 0.000 0.500 0.000 x2
As 0.000 0.500 0.341 x4

Summary:
Offset from the most stable computed form ... 3 meV per atom
Magnetization ... 0.0 μB/f.u.
Formation energy ... -1138 meV/atom

Record 9
First-principles (GGA-PBE) data for a geometry-optimized ScPaAs2 structure, as listed in Alexandria.

abc: 3.9187 3.9187 13.4041
angles: 90.00 90.00 120.00
Space group P6_3/mmc (No. 194)
Asymmetric unit:
Sc 0.0000 0.0000 0.0000 x2
Pa 0.3333 0.6667 0.2500 x2
As 0.3333 0.6667 0.6154 x4

Summary:
Offset from the most stable computed form ... 15 meV per atom
Magnetization ... 0.0 μB/f.u.
Formation energy ... -1167 meV/atom

Record 10
First-principles (GGA-PBE) data for a geometry-optimized Sc2PaAs4 structure, as listed in Alexandria.

abc: 3.975 12.947 12.245
angles: 90.00 90.00 90.00
Space group Cmcm (No. 63)
Asymmetric unit:
Sc 0.000 0.131 0.057 x8
Pa 0.000 0.392 0.250 x4
As 0.000 0.043 0.250 x4
As 0.000 0.237 0.636 x8
As 0.000 0.500 0.000 x4

Summary:
Magnetization ... 0.0 μB/f.u.
Formation energy ... -967 meV/atom